A plane-wave DFT calculation with PBE was carried out for a relaxed CaZrTl crystal.

- Energy relative to the elements: 20 meV per atom
- Space group: I4mm, No. 107
- Offset from the most stable computed form: 114.7 meV per atom
- Volume: 26.9 Å³/atom
- Total magnetic moment: 0.00 μB/f.u.

Cell lengths 7.3986, 7.3986, 7.3986 Å; angles 153.45, 153.45, 37.91 degrees
With the nearest neighbours (Å) after each atom.
Positions (direct):
1 Ca 0.0000 0.0000 0.0000  4 Tl 3.35, 4 Ca 3.40, 4 Zr 3.55
2 Zr 0.6871 0.6871 0.0000  4 Tl 3.15, 4 Zr 3.40
3 Tl 0.3327 0.3327 0.0000  4 Zr 3.15, 4 Ca 3.35, 4 Tl 3.40



A plane-wave DFT calculation with PBE was carried out for a relaxed Be2CoRe crystal.

- Energy relative to the elements: 305 meV per atom
- Space group: I-42d, No. 122
- Offset from the most stable computed form: 468.2 meV per atom
- Volume: 10.7 Å³/atom
- Total magnetic moment: 0.00 μB/f.u.

Cell lengths 4.8491, 4.8491, 4.8491 Å; angles 104.87, 104.87, 119.13 degrees
With the nearest neighbours (Å) after each atom.
Positions (direct):
1 Be 0.0985 0.6250 0.9735  2 Co 2.08, 2 Re 2.29
2 Be 0.3750 0.3485 0.4735  2 Co 2.08, 2 Re 2.29
3 Be 0.6515 0.1250 0.0265  2 Co 2.08, 2 Re 2.29
4 Be 0.8750 0.9015 0.5265  2 Co 2.08, 2 Re 2.29
5 Co 0.0000 0.0000 0.0000  4 Be 2.08
6 Co 0.7500 0.2500 0.5000  4 Be 2.08
7 Re 0.2500 0.7500 0.5000  4 Be 2.29, 2 Co 2.46
8 Re 0.5000 0.5000 0.0000  4 Be 2.29, 2 Co 2.46



A plane-wave DFT calculation with PBE was carried out for a relaxed RbTlF2 crystal.

- Space group: Pmc2_1, No. 26
- Offset from the most stable computed form: 0.0 meV per atom
- Volume: 23.5 Å³/atom
- Total magnetic moment: 0.00 μB/f.u.
- Formation energy (no corrections): -2.2048 eV/atom

Cell lengths 4.0187, 4.0180, 11.6259 Å; angles 90.00, 90.00, 90.00 degrees
With the nearest neighbours (Å) after each atom.
Positions (direct):
1 Rb 0.0000 0.0024 0.0000  6 F 2.86-2.94
2 Rb 0.0000 0.9976 0.5000  6 F 2.86-2.94
3 Tl 0.5000 0.4991 0.2521  3 F 2.53-2.81
4 Tl 0.5000 0.5009 0.7521  3 F 2.53-2.81
5 F 0.0000 0.0107 0.7527  4 Tl 2.81-2.87, 2 Rb 2.88-2.94
6 F 0.0000 0.9893 0.2527  4 Tl 2.81-2.87, 2 Rb 2.88-2.94
7 F 0.5000 0.4975 0.4695  1 Tl 2.53
8 F 0.5000 0.5025 0.9695  1 Tl 2.53



A plane-wave DFT calculation with PBE was carried out for a relaxed Pr2Hg2Au crystal.

- Energy relative to the elements: -522 meV per atom
- Space group: C2/c, No. 15
- Offset from the most stable computed form: 0.0 meV per atom
- Volume: 26.5 Å³/atom
- Total magnetic moment: 0.00 μB/f.u.

Cell lengths 9.4500, 9.4500, 5.4122 Å; angles 90.04, 90.04, 33.28 degrees
With the nearest neighbours (Å) after each atom.
Positions (direct):
1 Pr 0.1498 0.6493 0.7512  4 Au 3.25-3.27, 5 Hg 3.29-3.54, 1 Pr 3.64
2 Pr 0.3507 0.8502 0.7488  4 Au 3.25-3.27, 5 Hg 3.29-3.54, 1 Pr 3.64
3 Pr 0.6493 0.1498 0.2512  4 Au 3.25-3.27, 5 Hg 3.29-3.54, 1 Pr 3.64
4 Pr 0.8502 0.3507 0.2488  4 Au 3.25-3.27, 5 Hg 3.29-3.54, 1 Pr 3.64
5 Hg 0.0453 0.5463 0.2490  4 Hg 3.16-3.18, 5 Pr 3.29-3.54
6 Hg 0.4537 0.9547 0.2510  4 Hg 3.16-3.18, 5 Pr 3.29-3.54
7 Hg 0.5463 0.0453 0.7490  4 Hg 3.16-3.18, 5 Pr 3.29-3.54
8 Hg 0.9547 0.4537 0.7510  4 Hg 3.16-3.18, 5 Pr 3.29-3.54
9 Au 0.2492 0.7508 0.2500  8 Pr 3.25-3.27
10 Au 0.7508 0.2492 0.7500  8 Pr 3.25-3.27



A plane-wave DFT calculation with PBE was carried out for a relaxed Ti2VPdPt crystal.

- Energy relative to the elements: 539 meV per atom
- Space group: P4/mmm, No. 123
- Volume: 17.6 Å³/atom
- Total magnetic moment: 0.00 μB/f.u.

Cell lengths 4.4020, 4.4020, 4.5399 Å; angles 90.00, 90.00, 90.00 degrees
With the nearest neighbours (Å) after each atom.
Positions (direct):
1 Ti 0.0000 0.5000 0.0000  2 V 2.20
2 Ti 0.5000 0.0000 0.0000  2 V 2.20
3 V 0.0000 0.0000 0.0000  4 Ti 2.20, 2 Pd 2.27
4 Pd 0.0000 0.0000 0.5000  2 V 2.27
5 Pt 0.5000 0.5000 0.5000  4 Pd 3.11, 8 Ti 3.16



A plane-wave DFT calculation with PBE was carried out for a relaxed Tl3InB crystal.

- Energy relative to the elements: 1321 meV per atom
- Space group: Pm-3m, No. 221
- Offset from the most stable computed form: 704.9 meV per atom
- Volume: 38.7 Å³/atom
- Total magnetic moment: 0.00 μB/f.u.

Cell lengths 5.7835, 5.7835, 5.7835 Å; angles 90.00, 90.00, 90.00 degrees
With the nearest neighbours (Å) after each atom.
Positions (direct):
1 Tl 0.0000 0.0000 0.5000  2 In 2.89
2 Tl 0.0000 0.5000 0.0000  2 In 2.89
3 Tl 0.5000 0.0000 0.0000  2 In 2.89
4 In 0.0000 0.0000 0.0000  6 Tl 2.89
5 B 0.5000 0.5000 0.5000  12 Tl 4.09



A plane-wave DFT calculation with PBE was carried out for a relaxed LaNd2Mg5 crystal.

- Energy relative to the elements: -103 meV per atom
- Space group: I4/mmm, No. 139
- Volume: 28.1 Å³/atom
- Total magnetic moment: 0.00 μB/f.u.

Cell lengths 8.7577, 8.7577, 8.7577 Å; angles 144.51, 144.51, 51.06 degrees
With the nearest neighbours (Å) after each atom.
Positions (direct):
1 La 0.0000 0.0000 0.0000  8 Mg 3.27
2 Nd 0.2622 0.2622 0.0000  8 Mg 3.26-3.49
3 Nd 0.7378 0.7378 0.0000  8 Mg 3.26-3.49
4 Mg 0.1195 0.6195 0.5000  4 Nd 3.26-3.49, 2 La 3.27, 2 Mg 3.27
5 Mg 0.3805 0.8805 0.5000  4 Nd 3.26-3.49, 2 La 3.27, 2 Mg 3.27
6 Mg 0.5000 0.5000 0.0000  8 Mg 3.27
7 Mg 0.6195 0.1195 0.5000  4 Nd 3.26-3.49, 2 La 3.27, 2 Mg 3.27
8 Mg 0.8805 0.3805 0.5000  4 Nd 3.26-3.49, 2 La 3.27, 2 Mg 3.27



A plane-wave DFT calculation with PBE was carried out for a relaxed AlFe2Br crystal.

- Space group: Imm2, No. 44
- Offset from the most stable computed form: 117.6 meV per atom
- Volume: 17.5 Å³/atom
- Total magnetic moment: 4.65 μB/f.u.
- Formation energy (no corrections): 0.2361 eV/atom

Cell lengths 6.2524, 6.2524, 6.2524 Å; angles 151.49, 143.06, 47.31 degrees
With the nearest neighbours (Å) after each atom.
Positions (direct):
1 Al 0.0000 0.0000 0.0000  6 Fe 2.46-2.54
2 Fe 0.4675 0.4675 0.0000  2 Fe 2.39, 4 Al 2.54
3 Fe 0.6267 0.1267 0.5000  2 Fe 2.39, 2 Al 2.46
4 Br 0.2703 0.7703 0.5000  6 Fe 2.73-3.00



A plane-wave DFT calculation with PBE was carried out for a relaxed Li7Sb2H2 crystal.

- Space group: C2/m, No. 12
- Volume: 18.3 Å³/atom
- Total magnetic moment: 0.00 μB/f.u.
- E_tot: -32.50 eV/cell

Cell lengths 6.3527, 6.3527, 5.1852 Å; angles 100.28, 100.28, 82.61 degrees
With the nearest neighbours (Å) after each atom.
Positions (direct):
1 Li 0.0000 0.0000 0.0000  4 Sb 3.09, 4 Li 3.42
2 Li 0.1117 0.4709 0.7437  1 H 1.75
3 Li 0.4585 0.4585 0.2214  2 H 1.74-1.94
4 Li 0.4709 0.1117 0.7437  1 H 1.75
5 Li 0.5291 0.8883 0.2563  1 H 1.75
6 Li 0.5415 0.5415 0.7786  2 H 1.74-1.94
7 Li 0.8883 0.5291 0.2563  1 H 1.75
8 Sb 0.1996 0.8004 0.5000  8 Li 2.77-3.09
9 Sb 0.8004 0.1996 0.5000  8 Li 2.77-3.09
10 H 0.3620 0.3620 0.8908  4 Li 1.74-1.94
11 H 0.6380 0.6380 0.1092  4 Li 1.74-1.94



A plane-wave DFT calculation with PBE was carried out for a relaxed Pm9Sm2Tl crystal.

- Energy relative to the elements: -45 meV per atom
- Space group: P4/mmm, No. 123
- Volume: 33.1 Å³/atom
- Total magnetic moment: 0.00 μB/f.u.

Cell lengths 5.0551, 5.0551, 15.5216 Å; angles 90.00, 90.00, 90.00 degrees
With the nearest neighbours (Å) after each atom.
Positions (direct):
1 Pm 0.0000 0.0000 0.0000  8 Pm 3.56, 4 Tl 3.57
2 Pm 0.0000 0.0000 0.3294  4 Sm 3.57, 8 Pm 3.63-3.66
3 Pm 0.0000 0.0000 0.6706  4 Sm 3.57, 8 Pm 3.63-3.66
4 Pm 0.0000 0.5000 0.1613  2 Tl 3.56, 8 Pm 3.56-3.63, 2 Sm 3.65
5 Pm 0.0000 0.5000 0.5000  8 Pm 3.57-3.66, 4 Sm 3.64
6 Pm 0.0000 0.5000 0.8387  2 Tl 3.56, 8 Pm 3.56-3.63, 2 Sm 3.65
7 Pm 0.5000 0.0000 0.1613  2 Tl 3.56, 8 Pm 3.56-3.63, 2 Sm 3.65
8 Pm 0.5000 0.0000 0.5000  8 Pm 3.57-3.66, 4 Sm 3.64
9 Pm 0.5000 0.0000 0.8387  2 Tl 3.56, 8 Pm 3.56-3.63, 2 Sm 3.65
10 Sm 0.5000 0.5000 0.3310  12 Pm 3.57-3.65
11 Sm 0.5000 0.5000 0.6690  12 Pm 3.57-3.65
12 Tl 0.5000 0.5000 0.0000  12 Pm 3.56-3.57